Compound: LiNi2
Source: Alexandria
Functional: GGA-PBE
Structure: relaxed

Summary:
- raw total energy (eV/atom) = -4.5039
- formation energy (kJ/mol of formula units) = -3.4
- space-group type = C2/c
- theoretical density (Mg/m³) = 6.296

Lattice parameters (Å, degrees): 4.2035 4.2035 8.3621 108.35 108.35 75.34
Positions (direct):
Li 0.0412 0.7902 0.5810
Li 0.2098 0.9588 0.9190
Li 0.7902 0.0412 0.0810
Li 0.9588 0.2098 0.4190
Ni 0.1315 0.3801 0.7622
Ni 0.2952 0.5454 0.0908
Ni 0.3801 0.1315 0.2622
Ni 0.4546 0.7048 0.4092
Ni 0.5454 0.2952 0.5908
Ni 0.6199 0.8685 0.7378
Ni 0.7048 0.4546 0.9092
Ni 0.8685 0.6199 0.2378